Co5Pb3O12: relaxed, PBE+U.

a = 10.7409 Å, b = 10.7409 Å, c = 10.7409 Å
α = 109.47°, β = 109.47°, γ = 109.47°
Element x y z (fractional)
O: 0.1700 0.0974 0.9763
O: 0.6211 0.0237 0.1937
O: 0.3063 0.8789 0.9763
O: 0.9274 0.0974 0.6211
O: 0.4274 0.1211 0.5974
O: 0.4763 0.8063 0.8789
O: 0.4026 0.3789 0.5726
O: 0.4274 0.3063 0.3300
O: 0.5974 0.6211 0.4274
O: 0.8063 0.3300 0.9274
O: 0.5726 0.8789 0.4026
O: 0.1211 0.4274 0.0974
O: 0.5974 0.9763 0.6700
O: 0.0974 0.1700 0.4763
O: 0.1700 0.0726 0.6937
O: 0.8789 0.5726 0.9026
O: 0.3789 0.9763 0.8063
O: 0.3300 0.5237 0.4026
O: 0.9763 0.3789 0.3063
O: 0.0726 0.9026 0.3789
O: 0.9026 0.0726 0.8789
O: 0.8063 0.4763 0.3789
O: 0.4763 0.6700 0.0974
O: 0.6211 0.5974 0.9274
O: 0.1937 0.5237 0.6211
O: 0.3300 0.8063 0.4274
O: 0.3063 0.4274 0.8300
O: 0.9763 0.5974 0.1700
O: 0.5237 0.1937 0.1211
O: 0.6700 0.1937 0.5726
O: 0.6937 0.5726 0.1700
O: 0.5237 0.3300 0.9026
O: 0.0726 0.1700 0.1937
O: 0.3789 0.4026 0.0726
O: 0.6700 0.4763 0.5974
O: 0.9274 0.8300 0.8063
O: 0.0237 0.4026 0.8300
O: 0.6937 0.1211 0.0237
O: 0.1937 0.6700 0.0726
O: 0.0237 0.6211 0.6937
O: 0.1211 0.6937 0.5237
O: 0.9026 0.8300 0.5237
O: 0.5726 0.6937 0.6700
O: 0.8300 0.9026 0.0237
O: 0.4026 0.0237 0.3300
O: 0.0974 0.9274 0.1211
O: 0.8300 0.9274 0.3063
O: 0.8789 0.3063 0.4763
Co: 0.5000 0.5000 0.5000
Co: 0.0000 0.0000 0.5000
Co: 0.5000 0.0000 0.5000
Co: 0.0000 0.5000 0.5000
Co: 0.3750 0.1250 0.7500
Co: 0.5000 0.0000 0.0000
Co: 0.6250 0.8750 0.2500
Co: 0.3750 0.2500 0.1250
Co: 0.0000 0.5000 0.0000
Co: 0.0000 0.0000 0.0000
Co: 0.2500 0.8750 0.1250
Co: 0.6250 0.7500 0.8750
Co: 0.7500 0.1250 0.8750
Co: 0.8750 0.2500 0.6250
Co: 0.2500 0.3750 0.6250
Co: 0.8750 0.6250 0.7500
Co: 0.1250 0.3750 0.2500
Co: 0.7500 0.6250 0.3750
Co: 0.1250 0.7500 0.3750
Co: 0.5000 0.5000 0.0000
Pb: 0.1250 0.2500 0.8750
Pb: 0.6250 0.2500 0.3750
Pb: 0.3750 0.7500 0.6250
Pb: 0.8750 0.1250 0.2500
Pb: 0.8750 0.7500 0.1250
Pb: 0.7500 0.3750 0.1250
Pb: 0.2500 0.1250 0.3750
Pb: 0.3750 0.6250 0.2500
Pb: 0.7500 0.8750 0.6250
Pb: 0.6250 0.3750 0.7500
Pb: 0.2500 0.6250 0.8750
Pb: 0.1250 0.8750 0.7500

Values from the calculation:
Symmetry: Ia-3d (230)
Total magnetization, μB per formula unit: 9.10
Energy, Ry/atom: -0.4220